Record 1
# Ni2Mo | Alexandria | meta-GGA SCAN | PBEsol geometry
data_Ni2Mo
_chemical_formula_sum 'Ni8 Mo4'
_cell_length_a 7.661
_cell_length_b 4.460
_cell_length_c 4.163
_cell_angle_alpha 90.00
_cell_angle_beta 90.00
_cell_angle_gamma 90.00
_space_group_name_H-M_alt 'P 1'
_space_group_IT_number 1
_space_group_name_Hall 'P 1'
loop_
_atom_site_label
_atom_site_type_symbol
_atom_site_fract_x
_atom_site_fract_y
_atom_site_fract_z
Ni1 Ni 0.172 0.170 0.250
Ni2 Ni 0.172 0.830 0.750
Ni3 Ni 0.328 0.330 0.750
Ni4 Ni 0.328 0.670 0.250
Ni5 Ni 0.672 0.330 0.750
Ni6 Ni 0.672 0.670 0.250
Ni7 Ni 0.828 0.170 0.250
Ni8 Ni 0.828 0.830 0.750
Mo1 Mo 0.000 0.310 0.750
Mo2 Mo 0.000 0.690 0.250
Mo3 Mo 0.500 0.190 0.250
Mo4 Mo 0.500 0.810 0.750
# Energy relative to the elements (eV per atom): -0.039
# Theoretical density (g cm⁻³): 10.0
# D(E_F) (states/eV per atom): 0.48
# Energy relative to the lowest polymorph listed for this composition (meV per atom): 0
# VASP energy (eV per atom): -22.450

***

Record 2
# NiMoP2O | Alexandria | meta-GGA SCAN | PBEsol geometry
data_NiMoP2O
_chemical_formula_sum 'Ni1 Mo1 P2 O1'
_cell_length_a 4.492
_cell_length_b 4.492
_cell_length_c 3.334
_cell_angle_alpha 90.00
_cell_angle_beta 90.00
_cell_angle_gamma 90.00
_space_group_name_H-M_alt 'P 1'
_space_group_IT_number 1
_space_group_name_Hall 'P 1'
loop_
_atom_site_label
_atom_site_type_symbol
_atom_site_fract_x
_atom_site_fract_y
_atom_site_fract_z
Ni1 Ni 0.000 0.000 0.000
Mo1 Mo 0.500 0.500 0.500
P1 P 0.000 0.500 0.000
P2 P 0.500 0.000 0.000
O1 O 0.000 0.000 0.500
# Theoretical density (g cm⁻³): 5.7
# D(E_F) (states/eV per atom): 0.55
# VASP energy (eV per atom): -15.290

***

Record 3
# RbNi2MoO | Alexandria | meta-GGA SCAN | PBEsol geometry
data_RbNi2MoO
_chemical_formula_sum 'Rb1 Ni2 Mo1 O1'
_cell_length_a 4.556
_cell_length_b 4.556
_cell_length_c 4.229
_cell_angle_alpha 90.00
_cell_angle_beta 90.00
_cell_angle_gamma 90.00
_space_group_name_H-M_alt 'P 1'
_space_group_IT_number 1
_space_group_name_Hall 'P 1'
loop_
_atom_site_label
_atom_site_type_symbol
_atom_site_fract_x
_atom_site_fract_y
_atom_site_fract_z
Rb1 Rb 0.000 0.000 0.000
Ni1 Ni 0.000 0.500 0.000
Ni2 Ni 0.500 0.000 0.000
Mo1 Mo 0.500 0.500 0.500
O1 O 0.000 0.000 0.500
# Theoretical density (g cm⁻³): 6.0
# D(E_F) (states/eV per atom): 0.70
# VASP energy (eV per atom): -16.560